Here is an optimized crystal structure of Li2CeFeH8 from the Alexandria database. Energies are from PBE. Values from VASP.

- Mass density: 3.803 g cm⁻³
- Magnetic moment: 0.116 μB per formula unit
- Space-group type: No. 2
- Energy: -4.075 eV per atom

Cell and atoms, written as Quantum ESPRESSO input:
```
&SYSTEM
  ibrav = 0, nat = 12, ntyp = 4
/
ATOMIC_SPECIES
H 1.01 H.upf
Fe 55.84 Fe.upf
Ce 140.12 Ce.upf
Li 6.94 Li.upf
CELL_PARAMETERS angstrom
-1.799 -3.970 -0.388
-0.445 -0.232 4.431
-4.731 1.872 2.779
ATOMIC_POSITIONS crystal
H 0.747 0.164 0.093
H 0.500 0.237 0.458
H 0.252 0.167 0.092
H 0.748 0.833 0.908
Fe 0.000 0.000 0.000
H 0.500 0.763 0.542
H 0.002 0.643 0.298
H 0.998 0.357 0.702
Ce 0.000 0.000 0.500
H 0.253 0.836 0.907
Li 0.500 0.286 0.774
Li 0.500 0.714 0.226
```